[1]
Density functional theory data (PBE-GGA) for a geometry-optimized PW3I structure.

Output
DFT total energy = -6.081 eV per atom
energy relative to the elements, uncorrected = 3.0830 eV per atom
space group = Pm-3m
energy above the most stable polymorph in this dataset = 1695 meV/atom
crystal system = cubic

Cell: 4.8743 4.8743 4.8743 Å, 90.00 90.00 90.00°
With the nearest neighbours (Å) after each atom.
Sites, in units of the cell vectors:
1 I 0.0000 0.0000 0.0000  6 W 2.44
2 P 0.5000 0.5000 0.5000  12 W 3.45
3 W 0.0000 0.5000 0.0000  2 I 2.44
4 W 0.0000 0.0000 0.5000  2 I 2.44
5 W 0.5000 0.0000 0.0000  2 I 2.44


[2]
Density functional theory data (PBE-GGA) for a geometry-optimized PW2I structure.

Output
DFT total energy = -7.333 eV per atom
energy relative to the elements, uncorrected = 0.8840 eV per atom
space group = I-42d
energy above the most stable polymorph in this dataset = 0 meV/atom
crystal system = tetragonal

Cell: 4.5928 4.5928 8.5665 Å, 74.45 74.45 90.00°
With the nearest neighbours (Å) after each atom.
Sites, in units of the cell vectors:
1 I 0.0000 0.0000 0.0000  4 W 2.76
2 I 0.7500 0.2500 0.5000  4 W 2.76
3 P 0.5000 0.5000 0.0000  4 W 2.41
4 P 0.2500 0.7500 0.5000  4 W 2.41
5 W 0.5387 0.1250 0.2500  2 P 2.41
6 W 0.2113 0.6250 0.2500  2 P 2.41
7 W 0.3750 0.4613 0.7500  2 P 2.41
8 W 0.8750 0.7887 0.7500  2 P 2.41